[1]
This record from the Alexandria database describes an optimized crystal structure of AcCeNi10. The functional is PBE-GGA.

Values from the calculation:
ρ = 9.20 Mg/m³
E = -5.933 eV/atom
DFT formation energy = -278 meV/atom

Cell lengths 3.9976, 4.9807, 8.6453 Å; angles 90.00, 90.00, 90.00 degrees
With the nearest neighbours (Å) after each atom.
Positions (direct):
1 Ni 0.0000 0.0000 0.6568  6 Ni 2.41-2.48
2 Ni 0.5000 0.2528 0.2577  8 Ni 2.44-2.55
3 Ni 0.5000 0.7472 0.2577  8 Ni 2.44-2.55
4 Ni 0.0000 0.5000 0.1824  6 Ni 2.44-2.55
5 Ni 0.5000 0.0000 0.5000  8 Ni 2.41-2.44
6 Ni 0.5000 0.5000 0.0000  8 Ni 2.55
7 Ni 0.5000 0.2528 0.7423  8 Ni 2.44-2.55
8 Ce 0.0000 0.5000 0.5000  6 Ni 2.75-2.84
9 Ni 0.0000 0.5000 0.8176  6 Ni 2.44-2.55
10 Ni 0.0000 0.0000 0.3432  6 Ni 2.41-2.48
11 Ac 0.0000 0.0000 0.0000  18 Ni 2.95-3.25
12 Ni 0.5000 0.7472 0.7423  8 Ni 2.44-2.55

[2]
This record from the Alexandria database describes an optimized crystal structure of KAgBiTe3. The functional is PBE-GGA.

Values from the calculation:
ρ = 5.70 Mg/m³
E = -3.246 eV/atom

Cell lengths 4.4547, 9.8177, 10.2350 Å; angles 105.92, 90.00, 90.00 degrees
With the nearest neighbours (Å) after each atom.
Positions (direct):
1 Te 0.7500 0.2274 0.5413  3 Ag 2.84
2 Te 0.2500 0.5371 0.8231  3 Bi 3.06-3.17
3 Te 0.2500 0.1023 0.8783  1 Ag 2.88, 2 Bi 3.14
4 Te 0.2500 0.7726 0.4587  3 Ag 2.84
5 Bi 0.7500 0.3257 0.8704  6 Te 3.06-3.24
6 Ag 0.7500 0.9318 0.4099  4 Te 2.84-2.88, 2 Ag 2.97
7 K 0.2500 0.2022 0.2503  7 Te 3.62-3.67, 1 Ag 4.04
8 Te 0.7500 0.4629 0.1769  3 Bi 3.06-3.17
9 K 0.7500 0.7978 0.7497  7 Te 3.62-3.67, 1 Ag 4.04
10 Ag 0.2500 0.0682 0.5901  4 Te 2.84-2.88, 2 Ag 2.97
11 Bi 0.2500 0.6743 0.1296  6 Te 3.06-3.24
12 Te 0.7500 0.8977 0.1217  1 Ag 2.88, 2 Bi 3.14

[3]
This record from the Alexandria database describes an optimized crystal structure of KInPb. The functional is PBE-GGA.

Values from the calculation:
ρ = 4.31 Mg/m³
E = -2.566 eV/atom
DFT formation energy = -51 meV/atom

Cell lengths 8.1431, 8.1431, 8.3877 Å; angles 90.00, 90.00, 90.00 degrees
With the nearest neighbours (Å) after each atom.
Positions (direct):
1 Pb 0.5000 0.2981 0.5000  2 Pb 3.13, 4 In 3.32-3.41, 2 K 3.43
2 Pb 0.7019 0.5000 0.7500  2 Pb 3.13, 4 In 3.32-3.41, 2 K 3.43
3 K 0.6501 0.0000 0.7500  2 Pb 3.43
4 In 0.6536 0.6536 0.3750  2 In 3.26, 4 Pb 3.32-3.41
5 In 0.6536 0.3464 0.1250  2 In 3.26, 4 Pb 3.32-3.41
6 K 0.0000 0.3499 0.5000  2 Pb 3.43
7 K 0.0000 0.6501 0.0000  2 Pb 3.43
8 Pb 0.2981 0.5000 0.2500  2 Pb 3.13, 4 In 3.32-3.41, 2 K 3.43
9 Pb 0.5000 0.7019 0.0000  2 Pb 3.13, 4 In 3.32-3.41, 2 K 3.43
10 In 0.3464 0.6536 0.6250  2 In 3.26, 4 Pb 3.32-3.41
11 K 0.3499 0.0000 0.2500  2 Pb 3.43
12 In 0.3464 0.3464 0.8750  2 In 3.26, 4 Pb 3.32-3.41

[4]
This record from the Alexandria database describes an optimized crystal structure of AcCe2Hg2Au2. The functional is PBE-GGA.

Values from the calculation:
ρ = 11.78 Mg/m³
E = -3.753 eV/atom
DFT formation energy = -448 meV/atom

Cell lengths 4.8280, 4.8280, 9.5129 Å; angles 75.30, 75.30, 60.00 degrees
With the nearest neighbours (Å) after each atom.
Positions (direct):
1 Hg 0.2633 0.2633 0.2100  3 Au 2.94, 1 Ce 3.28
2 Ce 0.8567 0.8567 0.4298  3 Au 2.98, 3 Ce 3.07, 1 Hg 3.28
3 Hg 0.7367 0.7367 0.7900  3 Au 2.94, 1 Ce 3.28
4 Au 0.5624 0.5624 0.3127  3 Hg 2.94, 3 Ce 2.98
5 Au 0.4376 0.4376 0.6873  3 Hg 2.94, 3 Ce 2.98
6 Ac 0.0000 0.0000 0.0000  6 Hg 3.38
7 Ce 0.1433 0.1433 0.5702  3 Au 2.98, 3 Ce 3.07, 1 Hg 3.28